1.
# PmPr2Nd6Er

An optimized crystal structure of PmPr2Nd6Er (GGA-PBE, Alexandria via LeMat-Bulk).

## Properties
DFT total energy	-4.64	eV per atom
calculated density	6.9	g/cm³
E_form	0.11	eV/atom
space group	C2/c (15)

a b c (Å): 9.934 9.005 9.005
angles (deg): 117.94 94.41 94.41
Element x y z (fractional)
Pm  0.250  0.982  0.018
Pm  0.750  0.018  0.982
Pr  0.457  0.804  0.704
Pr  0.043  0.296  0.196
Pr  0.543  0.196  0.296
Pr  0.957  0.704  0.804
Nd  0.055  0.121  0.748
Nd  0.445  0.252  0.879
Nd  0.945  0.879  0.252
Nd  0.555  0.748  0.121
Nd  0.311  0.986  0.428
Nd  0.189  0.572  0.014
Nd  0.689  0.014  0.572
Nd  0.811  0.428  0.986
Nd  0.119  0.705  0.495
Nd  0.381  0.505  0.295
Nd  0.881  0.295  0.505
Nd  0.619  0.495  0.705
Er  0.250  0.408  0.592
Er  0.750  0.592  0.408

=====

2.
# PmPr6Nd2Er

An optimized crystal structure of PmPr6Nd2Er (GGA-PBE, Alexandria via LeMat-Bulk).

## Properties
DFT total energy	-4.64	eV per atom
calculated density	6.8	g/cm³
E_form	0.11	eV/atom
space group	C2/c (15)

a b c (Å): 9.937 9.044 9.044
angles (deg): 117.85 94.36 94.36
Element x y z (fractional)
Pm  0.250  0.980  0.020
Pm  0.750  0.020  0.980
Pr  0.054  0.119  0.751
Pr  0.446  0.249  0.881
Pr  0.946  0.881  0.249
Pr  0.554  0.751  0.119
Pr  0.310  0.988  0.430
Pr  0.190  0.570  0.012
Pr  0.690  0.012  0.570
Pr  0.810  0.430  0.988
Pr  0.119  0.705  0.495
Pr  0.381  0.505  0.295
Pr  0.881  0.295  0.505
Pr  0.619  0.495  0.705
Nd  0.456  0.803  0.705
Nd  0.044  0.295  0.197
Nd  0.544  0.197  0.295
Nd  0.956  0.705  0.803
Er  0.250  0.409  0.591
Er  0.750  0.591  0.409

=====

3.
# PmPr6Nd2Er3

An optimized crystal structure of PmPr6Nd2Er3 (GGA-PBE, Alexandria via LeMat-Bulk).

## Properties
DFT total energy	-4.71	eV per atom
calculated density	7.2	g/cm³
E_form	0.02	eV/atom
space group	C2/m (12)

a b c (Å): 6.347 6.347 12.006
angles (deg): 95.04 95.04 120.02
Element x y z (fractional)
Pm  0.000  0.000  0.000
Pr  0.915  0.582  0.745
Pr  0.752  0.752  0.255
Pr  0.085  0.418  0.255
Pr  0.582  0.915  0.745
Pr  0.248  0.248  0.745
Pr  0.418  0.085  0.255
Nd  0.333  0.667  0.000
Nd  0.667  0.333  0.000
Er  0.167  0.833  0.500
Er  0.833  0.167  0.500
Er  0.500  0.500  0.500

=====

4.
# PmPr3Nd6Er2

An optimized crystal structure of PmPr3Nd6Er2 (GGA-PBE, Alexandria via LeMat-Bulk).

## Properties
DFT total energy	-4.72	eV per atom
calculated density	7.1	g/cm³
E_form	0.02	eV/atom
space group	C2/m (12)

a b c (Å): 6.346 6.346 12.113
angles (deg): 95.02 95.02 120.02
Element x y z (fractional)
Pm  0.000  0.000  0.000
Pr  0.167  0.833  0.500
Pr  0.833  0.167  0.500
Pr  0.500  0.500  0.500
Nd  0.918  0.583  0.755
Nd  0.748  0.748  0.245
Nd  0.082  0.417  0.245
Nd  0.583  0.918  0.755
Nd  0.252  0.252  0.755
Nd  0.417  0.082  0.245
Er  0.333  0.667  0.000
Er  0.667  0.333  0.000